Model one:
Here is B4Ir after structural relaxation from the Open Quantum Materials Database. Energies are from GGA-PBE.

```
B4Ir
1.0
1.3873 0.8010 6.1641
-1.3873 0.8010 6.1641
0.0000 -1.6019 6.1641
B Ir
4 1
Direct
0.0765 0.0765 0.0765
0.3124 0.3124 0.3124
0.6876 0.6876 0.6876
0.9235 0.9235 0.9235
0.5000 0.5000 0.5000
```



Model two:
Here is B4Ir after structural relaxation from the Open Quantum Materials Database. Energies are from GGA-PBE.

```
B4Ir
1.0
3.0154 0.0000 0.0000
0.0000 7.0113 0.0000
0.0000 0.0000 4.0266
B Ir
8 2
Direct
0.2500 0.0456 0.1830
0.2500 0.4544 0.1830
0.2500 0.5870 0.5198
0.2500 0.9130 0.5198
0.7500 0.0870 0.4802
0.7500 0.4130 0.4802
0.7500 0.5456 0.8170
0.7500 0.9544 0.8170
0.2500 0.7500 0.9931
0.7500 0.2500 0.0069
```



Model three:
Here is B4Ir after structural relaxation from the Open Quantum Materials Database. Energies are from GGA-PBE.

```
B4Ir
1.0
4.9116 0.0000 0.0000
0.0000 5.4950 0.0000
0.0000 0.0000 3.1801
B Ir
8 2
Direct
0.1344 0.1163 0.0000
0.2474 0.3204 0.5000
0.2526 0.8204 0.0000
0.3656 0.6163 0.5000
0.6344 0.3837 0.5000
0.7474 0.1796 0.0000
0.7526 0.6796 0.5000
0.8656 0.8837 0.0000
0.0000 0.5000 0.0000
0.5000 0.0000 0.5000
```



Computed energies relative to the best structure, in kJ/mol of atoms: model one 64.3; model two 0.0; model three 11.9



Model one:
Here is KB4Ir after structural relaxation from the Open Quantum Materials Database. Energies are from GGA-PBE.

```
KB4Ir
1.0
-1.3012 2.9283 4.2946
1.3012 -2.9283 4.2946
1.3012 2.9283 -4.2946
K B Ir
1 4 1
Direct
0.0000 0.0000 0.0000
0.1382 0.7817 0.3564
0.4253 0.7817 0.6436
0.5747 0.2183 0.3564
0.8618 0.2183 0.6436
0.5000 0.5000 0.0000
```



Model two:
Here is KB4Ir after structural relaxation from the Open Quantum Materials Database. Energies are from GGA-PBE.

```
KB4Ir
1.0
3.1020 0.0000 0.0000
-1.5510 2.6864 0.0000
0.0000 0.0000 8.1216
K B Ir
1 4 1
Direct
0.0000 0.0000 0.0000
0.3333 0.6667 0.3063
0.3333 0.6667 0.6937
0.6667 0.3333 0.3063
0.6667 0.3333 0.6937
0.0000 0.0000 0.5000
```



Computed energies relative to the best structure, in kJ/mol of atoms: model one 22.8; model two 0.0



Model one:
Here is LiNbBIr after structural relaxation from the Open Quantum Materials Database. Energies are from GGA-PBE.

```
LiNbBIr
1.0
0.0000 2.9364 2.9364
2.9364 0.0000 2.9364
2.9364 2.9364 0.0000
Li Nb B Ir
1 1 1 1
Direct
0.0000 0.0000 0.0000
0.2500 0.2500 0.2500
0.7500 0.7500 0.7500
0.5000 0.5000 0.5000
```



Model two:
Here is LiNbBIr after structural relaxation from the Open Quantum Materials Database. Energies are from GGA-PBE.

```
LiNbBIr
1.0
0.0000 2.8665 2.8665
2.8665 0.0000 2.8665
2.8665 2.8665 0.0000
Li Nb B Ir
1 1 1 1
Direct
0.0000 0.0000 0.0000
0.2500 0.2500 0.2500
0.5000 0.5000 0.5000
0.7500 0.7500 0.7500
```



Computed energies relative to the best structure, in kJ/mol of atoms: model one 0.0; model two 9.3



Model one:
Here is LiNiBIr after structural relaxation from the Open Quantum Materials Database. Energies are from GGA-PBE.

```
LiNiBIr
1.0
0.0000 2.7799 2.7799
2.7799 0.0000 2.7799
2.7799 2.7799 0.0000
Li Ni B Ir
1 1 1 1
Direct
0.0000 0.0000 0.0000
0.5000 0.5000 0.5000
0.2500 0.2500 0.2500
0.7500 0.7500 0.7500
```



Model two:
Here is LiNiBIr after structural relaxation from the Open Quantum Materials Database. Energies are from GGA-PBE.

```
LiNiBIr
1.0
0.0000 2.7661 2.7661
2.7661 0.0000 2.7661
2.7661 2.7661 0.0000
Li Ni B Ir
1 1 1 1
Direct
0.0000 0.0000 0.0000
0.7500 0.7500 0.7500
0.2500 0.2500 0.2500
0.5000 0.5000 0.5000
```



Computed energies relative to the best structure, in kJ/mol of atoms: model one 37.6; model two 0.0



Model one:
Here is LuNiBIr after structural relaxation from the Open Quantum Materials Database. Energies are from GGA-PBE.

```
LuNiBIr
1.0
0.0000 3.0033 3.0033
3.0033 0.0000 3.0033
3.0033 3.0033 0.0000
Lu Ni B Ir
1 1 1 1
Direct
0.0000 0.0000 0.0000
0.7500 0.7500 0.7500
0.2500 0.2500 0.2500
0.5000 0.5000 0.5000
```



Model two:
Here is LuNiBIr after structural relaxation from the Open Quantum Materials Database. Energies are from GGA-PBE.

```
LuNiBIr
1.0
0.0000 3.0819 3.0819
3.0819 0.0000 3.0819
3.0819 3.0819 0.0000
Lu Ni B Ir
1 1 1 1
Direct
0.0000 0.0000 0.0000
0.5000 0.5000 0.5000
0.2500 0.2500 0.2500
0.7500 0.7500 0.7500
```



Computed energies relative to the best structure, in kJ/mol of atoms: model one 0.0; model two 36.3



Model one:
Here is MgBIr after structural relaxation from the Open Quantum Materials Database. Energies are from GGA-PBE.

```
MgBIr
1.0
0.0000 2.6815 2.6815
2.6815 0.0000 2.6815
2.6815 2.6815 0.0000
Mg B Ir
1 1 1
Direct
0.0000 0.0000 0.0000
0.7500 0.7500 0.7500
0.5000 0.5000 0.5000
```



Model two:
Here is MgBIr after structural relaxation from the Open Quantum Materials Database. Energies are from GGA-PBE.

```
MgBIr
1.0
6.4308 0.0000 0.0000
0.0000 3.5676 0.0000
0.0000 0.0000 6.5920
Mg B Ir
4 4 4
Direct
0.0234 0.2500 0.1655
0.4766 0.7500 0.6655
0.5234 0.2500 0.3345
0.9766 0.7500 0.8345
0.1970 0.7500 0.3748
0.3030 0.2500 0.8748
0.6970 0.7500 0.1252
0.8030 0.2500 0.6252
0.1635 0.2500 0.5573
0.3365 0.7500 0.0573
0.6635 0.2500 0.9427
0.8365 0.7500 0.4427
```



Computed energies relative to the best structure, in kJ/mol of atoms: model one 25.4; model two 0.0